[1]
The following is a DFT calculation (PBE) of a relaxed structure of TlTcRu2. Values from VASP.

Cell and atoms, written as Quantum ESPRESSO input:
```
&SYSTEM
  ibrav = 0, nat = 4, ntyp = 3
/
ATOMIC_SPECIES
Tl 204.38 Tl.upf
Ru 101.07 Ru.upf
Tc 98.00 Tc.upf
CELL_PARAMETERS angstrom
-0.538 -4.139 2.371
2.347 -1.023 -4.060
2.528 0.444 1.350
ATOMIC_POSITIONS crystal
Tl 0.000 0.500 0.500
Ru 0.000 0.000 0.000
Tc 0.500 0.000 0.500
Ru 0.500 0.500 0.000
```

Calculated values
Raw total energy, eV per cell: -28.76
Size of the total moment, μB/f.u.: 0.00
Energy of formation from the pure elements, eV/atom: 0.63
ΔE to the lowest computed polymorph, eV/atom: 0.2946



[2]
The following is a DFT calculation (PBE) of a relaxed structure of TlTcRu2. Values from VASP.

Cell and atoms, written as Quantum ESPRESSO input:
```
&SYSTEM
  ibrav = 0, nat = 4, ntyp = 3
/
ATOMIC_SPECIES
Tc 98.00 Tc.upf
Ru 101.07 Ru.upf
Tl 204.38 Tl.upf
CELL_PARAMETERS angstrom
-4.743 6.792 -4.115
-6.033 6.838 -1.550
-3.594 8.296 -1.956
ATOMIC_POSITIONS crystal
Tc 0.507 0.507 0.507
Ru 0.250 0.250 0.250
Ru 0.994 0.994 0.994
Tl 0.749 0.749 0.749
```

Calculated values
Raw total energy, eV per cell: -29.14
Size of the total moment, μB/f.u.: 0.00
Energy of formation from the pure elements, eV/atom: 0.53
ΔE to the lowest computed polymorph, eV/atom: 0.1993



[3]
The following is a DFT calculation (PBE) of a relaxed structure of TlTcRu2. Values from VASP.

Cell and atoms, written as Quantum ESPRESSO input:
```
&SYSTEM
  ibrav = 0, nat = 4, ntyp = 3
/
ATOMIC_SPECIES
Tc 98.00 Tc.upf
Tl 204.38 Tl.upf
Ru 101.07 Ru.upf
CELL_PARAMETERS angstrom
-2.497 0.987 -2.914
-2.162 -0.053 1.835
-1.308 5.555 3.003
ATOMIC_POSITIONS crystal
Tc 0.000 0.546 0.455
Tl 0.500 0.743 0.757
Ru 0.500 0.236 0.263
Ru 0.000 0.975 0.024
```

Calculated values
Raw total energy, eV per cell: -29.24
Size of the total moment, μB/f.u.: 0.00
Energy of formation from the pure elements, eV/atom: 0.51
ΔE to the lowest computed polymorph, eV/atom: 0.1743



[4]
The following is a DFT calculation (PBE) of a relaxed structure of TlTcRu2. Values from VASP.

Cell and atoms, written as Quantum ESPRESSO input:
```
&SYSTEM
  ibrav = 0, nat = 4, ntyp = 3
/
ATOMIC_SPECIES
Ru 101.07 Ru.upf
Tl 204.38 Tl.upf
Tc 98.00 Tc.upf
CELL_PARAMETERS angstrom
4.889 0.010 -0.021
4.019 2.783 -0.021
0.951 0.298 4.785
ATOMIC_POSITIONS crystal
Ru 0.750 0.750 0.727
Tl 0.252 0.252 0.236
Ru 0.013 0.013 0.982
Tc 0.485 0.485 0.555
```

Calculated values
Raw total energy, eV per cell: -29.25
Size of the total moment, μB/f.u.: 0.00
Energy of formation from the pure elements, eV/atom: 0.51
ΔE to the lowest computed polymorph, eV/atom: 0.1722



[5]
The following is a DFT calculation (PBE) of a relaxed structure of TlTc4Ru. Values from VASP.

Cell and atoms, written as Quantum ESPRESSO input:
```
&SYSTEM
  ibrav = 0, nat = 6, ntyp = 3
/
ATOMIC_SPECIES
Tl 204.38 Tl.upf
Tc 98.00 Tc.upf
Ru 101.07 Ru.upf
CELL_PARAMETERS angstrom
0.000 3.654 3.654
3.654 0.000 3.654
3.654 3.654 0.000
ATOMIC_POSITIONS crystal
Tl 0.750 0.750 0.750
Tc 0.375 0.375 0.875
Tc 0.375 0.875 0.375
Tc 0.875 0.375 0.375
Tc 0.375 0.375 0.375
Ru 0.000 0.000 0.000
```

Calculated values
Raw total energy, eV per cell: -49.54
Size of the total moment, μB/f.u.: 0.00
Energy of formation from the pure elements, eV/atom: 0.59



[6]
The following is a DFT calculation (PBE) of a relaxed structure of TlTcRu3. Values from VASP.

Cell and atoms, written as Quantum ESPRESSO input:
```
&SYSTEM
  ibrav = 0, nat = 5, ntyp = 3
/
ATOMIC_SPECIES
Tc 98.00 Tc.upf
Ru 101.07 Ru.upf
Tl 204.38 Tl.upf
CELL_PARAMETERS angstrom
-0.682 2.885 -3.627
-0.477 -3.691 -2.846
-4.610 -0.045 0.831
ATOMIC_POSITIONS crystal
Tc 0.000 0.000 0.000
Ru 0.500 0.000 0.000
Tl 0.500 0.500 0.500
Ru 0.000 0.500 0.000
Ru 0.000 0.000 0.500
```

Calculated values
Raw total energy, eV per cell: -33.26
Size of the total moment, μB/f.u.: 1.60
Energy of formation from the pure elements, eV/atom: 1.46
ΔE to the lowest computed polymorph, eV/atom: 0.0000



[7]
The following is a DFT calculation (PBE) of a relaxed structure of Tl2TcRu2. Values from VASP.

Cell and atoms, written as Quantum ESPRESSO input:
```
&SYSTEM
  ibrav = 0, nat = 10, ntyp = 3
/
ATOMIC_SPECIES
Ru 101.07 Ru.upf
Tl 204.38 Tl.upf
Tc 98.00 Tc.upf
CELL_PARAMETERS angstrom
-0.915 -5.448 3.492
3.527 -3.376 -4.344
3.671 0.864 2.309
ATOMIC_POSITIONS crystal
Ru 0.634 0.134 0.000
Tl 0.822 0.322 0.500
Tc 0.500 0.500 0.000
Tl 0.322 0.178 0.500
Ru 0.366 0.866 0.000
Tc 0.000 0.000 0.000
Ru 0.134 0.366 0.000
Tl 0.178 0.678 0.500
Tl 0.678 0.822 0.500
Ru 0.866 0.634 0.000
```

Calculated values
Raw total energy, eV per cell: -60.34
Size of the total moment, μB/f.u.: 0.47
Energy of formation from the pure elements, eV/atom: 0.70
ΔE to the lowest computed polymorph, eV/atom: 0.0000



[8]
The following is a DFT calculation (PBE) of a relaxed structure of TlTcRu2. Values from VASP.

Cell and atoms, written as Quantum ESPRESSO input:
```
&SYSTEM
  ibrav = 0, nat = 4, ntyp = 3
/
ATOMIC_SPECIES
Tc 98.00 Tc.upf
Tl 204.38 Tl.upf
Ru 101.07 Ru.upf
CELL_PARAMETERS angstrom
5.297 0.004 0.000
2.355 4.745 0.000
-3.246 -3.308 2.564
ATOMIC_POSITIONS crystal
Tc 0.750 0.250 0.500
Tl 0.250 0.750 0.500
Ru 0.508 0.508 0.000
Ru 0.992 0.992 0.000
```

Calculated values
Raw total energy, eV per cell: -28.65
Size of the total moment, μB/f.u.: 0.00
Energy of formation from the pure elements, eV/atom: 0.66
ΔE to the lowest computed polymorph, eV/atom: 0.3231